# 1
The following is a GGA-PBE calculation of a geometry-optimized Sr5Si structure, from Alexandria via LeMat-Bulk.

## Properties
SG	No. 65
raw formation energy	0.013	eV/atom

```
Sr5Si
1.0
2.489 -8.693 0.000
2.489 8.693 0.000
0.000 0.000 5.824
Sr Si
5 1
Direct
0.000 0.000 0.000
0.133 0.867 0.500
0.336 0.664 0.000
0.664 0.336 0.000
0.867 0.133 0.500
0.500 0.500 0.500
```


# 2
The following is a GGA-PBE calculation of a geometry-optimized Cs5As2Se5 structure, from Alexandria via LeMat-Bulk.

## Properties
SG	No. 12
raw formation energy	-0.763	eV/atom

```
Cs5As2Se5
1.0
7.855 -2.542 0.000
7.855 2.542 0.000
-1.272 0.000 12.166
Cs As Se
5 2 5
Direct
0.000 0.000 0.000
0.136 0.136 0.589
0.287 0.287 0.865
0.713 0.713 0.135
0.864 0.864 0.411
0.475 0.475 0.711
0.525 0.525 0.289
0.092 0.092 0.276
0.389 0.389 0.164
0.500 0.500 0.500
0.611 0.611 0.836
0.908 0.908 0.724
```


# 3
The following is a GGA-PBE calculation of a geometry-optimized CeMnSn2 structure, from Alexandria via LeMat-Bulk.

## Properties
ΔE_f	-1.077	eV per formula unit
SG	No. 166

```
CeMnSn2
1.0
2.277 1.315 5.405
-2.277 1.315 5.405
0.000 -2.630 5.405
Ce Mn Sn
1 1 2
Direct
0.000 0.000 0.000
0.500 0.500 0.500
0.225 0.225 0.225
0.775 0.775 0.775
```


# 4
The following is a GGA-PBE calculation of a geometry-optimized LiHoErOs structure, from Alexandria via LeMat-Bulk.

## Properties
ΔE_f	-1.059	eV per formula unit
SG	No. 216

```
LiHoErOs
1.0
0.000 3.438 3.438
3.438 0.000 3.438
3.438 3.438 0.000
Li Ho Er Os
1 1 1 1
Direct
0.000 0.000 0.000
0.750 0.750 0.750
0.250 0.250 0.250
0.500 0.500 0.500
```


# 5
The following is a GGA-PBE calculation of a geometry-optimized ScPtAu2 structure, from Alexandria via LeMat-Bulk.

## Properties
ΔE_f	-1.508	eV per formula unit
SG	No. 160

```
ScPtAu2
1.0
1.621 0.936 8.403
-1.621 0.936 8.403
0.000 -1.872 8.403
Sc Pt Au
1 1 2
Direct
0.000 0.000 0.000
0.259 0.259 0.259
0.506 0.506 0.506
0.750 0.750 0.750
```


# 6
The following is a GGA-PBE calculation of a geometry-optimized Na2Zn3In structure, from Alexandria via LeMat-Bulk.

## Properties
ΔE_f	-0.203	eV per formula unit
SG	No. 12

```
Na2Zn3In
1.0
4.722 -2.816 0.000
4.722 2.816 0.000
-3.020 0.000 4.794
Na Zn In
2 3 1
Direct
0.122 0.122 0.370
0.878 0.878 0.630
0.000 0.500 0.000
0.500 0.000 0.000
0.500 0.500 0.000
0.500 0.500 0.500
```


# 7
The following is a GGA-PBE calculation of a geometry-optimized Ti2SbBr structure, from Alexandria via LeMat-Bulk.

## Properties
SG	No. 225
raw formation energy	-0.226	eV/atom

```
Ti2SbBr
1.0
0.000 3.374 3.374
3.374 0.000 3.374
3.374 3.374 0.000
Ti Sb Br
2 1 1
Direct
0.250 0.250 0.250
0.750 0.750 0.750
0.000 0.000 0.000
0.500 0.500 0.500
```


# 8
The following is a GGA-PBE calculation of a geometry-optimized RuSeO2 structure, from Alexandria via LeMat-Bulk.

## Properties
SG	No. 166
raw formation energy	0.113	eV/atom

```
RuSeO2
1.0
1.403 0.810 7.277
-1.403 0.810 7.277
0.000 -1.620 7.277
Ru Se O
1 1 2
Direct
0.000 0.000 0.000
0.500 0.500 0.500
0.084 0.084 0.084
0.916 0.916 0.916
```


# 9
The following is a GGA-PBE calculation of a geometry-optimized Cs2BiAuO4 structure, from Alexandria via LeMat-Bulk.

## Properties
SG	No. 82
raw formation energy	-0.870	eV/atom

```
Cs2BiAuO4
1.0
-3.407 3.407 3.831
3.407 -3.407 3.831
3.407 3.407 -3.831
Cs Bi Au O
2 1 1 4
Direct
0.000 0.000 0.000
0.750 0.250 0.500
0.250 0.750 0.500
0.500 0.500 0.000
0.291 0.685 0.845
0.315 0.160 0.606
0.554 0.709 0.394
0.840 0.446 0.155
```


# 10
The following is a GGA-PBE calculation of a geometry-optimized Ca3CrSi structure, from Alexandria via LeMat-Bulk.

## Properties
SG	No. 221
raw formation energy	0.304	eV/atom

```
Ca3CrSi
1.0
5.650 0.000 0.000
0.000 5.650 0.000
0.000 0.000 5.650
Ca Cr Si
3 1 1
Direct
0.000 0.000 0.500
0.000 0.500 0.000
0.500 0.000 0.000
0.500 0.500 0.500
0.000 0.000 0.000
```


# 11
The following is a GGA-PBE calculation of a geometry-optimized Na2TiGeO5 structure, from Alexandria via LeMat-Bulk.

## Properties
SG	No. 129
raw formation energy	-2.230	eV/atom

```
Na2TiGeO5
1.0
6.717 0.000 0.000
0.000 6.717 0.000
0.000 0.000 5.237
Na Ti Ge O
4 2 2 10
Direct
0.000 0.000 0.000
0.000 0.500 0.000
0.500 0.000 0.000
0.500 0.500 0.000
0.250 0.250 0.428
0.750 0.750 0.572
0.250 0.750 0.500
0.750 0.250 0.500
0.034 0.750 0.695
0.250 0.250 0.756
0.250 0.534 0.305
0.250 0.966 0.305
0.466 0.750 0.695
0.534 0.250 0.305
0.750 0.034 0.695
0.750 0.466 0.695
0.750 0.750 0.244
0.966 0.250 0.305
```


# 12
The following is a GGA-PBE calculation of a geometry-optimized K3Hg structure, from Alexandria via LeMat-Bulk.

## Properties
ΔE_f	-0.129	eV per formula unit
SG	No. 166

```
K3Hg
1.0
6.518 3.763 1.454
-6.518 3.763 1.454
0.000 -7.527 1.454
K Hg
3 1
Direct
0.000 0.500 0.500
0.500 0.000 0.500
0.500 0.500 0.000
0.000 0.000 0.000
```


Number 1: total energy -2.2926 eV per atom. Number 2: total energy -3.3454 eV per atom. Number 3: total energy -6.0465 eV per atom. Number 4: total energy -5.8357 eV per atom. Number 5: total energy -5.1087 eV per atom. Number 6: total energy -1.5669 eV per atom. Number 7: total energy -5.6218 eV per atom. Number 8: total energy -5.5559 eV per atom. Number 9: total energy -4.4577 eV per atom. Number 10: total energy -3.9062 eV per atom. Number 11: total energy -6.6683 eV per atom. Number 12: total energy -0.9307 eV per atom.